No. 1
VASP calculation (PBE) on a relaxed structure of TlVBiCl6.

Cell: 6.8769 6.8769 13.9552 Å, 90.00 90.00 120.00°
Last column: magnetic moment on the atom in μB.
Atoms (fractional coordinates):
Cl (0.0275, 0.6417, 0.3549)  -0.01
V (0.6667, 0.3333, 0.7500)  2.58
Cl (0.9725, 0.6141, 0.8549)  -0.01
Cl (0.6141, 0.6417, 0.1451)  -0.01
V (0.3333, 0.6667, 0.2500)  2.58
Cl (0.6417, 0.0275, 0.8549)  -0.01
Cl (0.3583, 0.9725, 0.1451)  -0.01
Cl (0.9725, 0.3583, 0.6451)  -0.01
Cl (0.3859, 0.3583, 0.8549)  -0.01
Cl (0.6417, 0.6141, 0.6451)  -0.01
Cl (0.3583, 0.3859, 0.3549)  -0.01
Tl (0.0000, 0.0000, 0.5000)  0.01
Cl (0.0275, 0.3859, 0.1451)  -0.01
Tl (0.0000, 0.0000, 0.0000)  0.01
Cl (0.3859, 0.0275, 0.6451)  -0.01
Bi (0.6667, 0.3333, 0.2500)  0.04
Cl (0.6141, 0.9725, 0.3549)  -0.01
Bi (0.3333, 0.6667, 0.7500)  0.04

Results
VASP energy, hartree per atom: -0.14703
Spin magnetization, μB/cell: 6.00
V, Å³ per atom: 31.8

---

No. 2
VASP calculation (PBE) on a relaxed structure of AcThSb.

Cell: 3.4773 4.0578 9.0909 Å, 102.90 101.03 90.00°
Atoms (fractional coordinates):
Ac (0.8657, 0.8657, 0.7314)
Sb (0.4792, 0.4792, 0.9583)
Th (0.6551, 0.6551, 0.3103)

Results
Energy above the lowest structure with this stoichiometry, eV per formula unit: 2.29
N(E_F), states/eV/cell: 3.65
Spin magnetization, μB/cell: 0.00
V, Å³ per atom: 40.9